1.
An optimized crystal structure of Ca2OsPt. Source: Alexandria via LeMat-Bulk, functional GGA-PBE.

Lattice parameters (Å, degrees): 4.6804 4.6804 3.7274 90.00 90.00 90.00
Last column: nearest neighbours and their distance in Å.
Atoms (fractional coordinates):
Pt1 0.0000 0.5000 0.5000  8 Ca 2.99, 4 Os 3.31
Ca1 0.5000 0.5000 0.0000  4 Os 2.99, 4 Pt 2.99, 4 Ca 3.31
Os1 0.5000 0.0000 0.5000  8 Ca 2.99, 4 Pt 3.31
Ca2 0.0000 0.0000 0.0000  4 Pt 2.99, 4 Os 2.99, 4 Ca 3.31

Computed properties:
Its formation enthalpy at 0 K is 0.092 eV per atom. The calculation puts the calculated volume at 81.7 Å³/f.u.


2.
An optimized crystal structure of NdZn9Au2. Source: Alexandria via LeMat-Bulk, functional GGA-PBE.

Lattice parameters (Å, degrees): 6.9439 8.3924 8.3924 80.15 65.56 65.56
Last column: nearest neighbours and their distance in Å.
Atoms (fractional coordinates):
Zn1 0.4264 0.8290 0.4134  5 Zn 2.56-2.70, 2 Au 2.66-2.70
Au1 0.8750 0.2500 0.2500  10 Zn 2.66-2.84
Zn2 0.0054 0.6710 0.9134  5 Zn 2.56-2.70, 2 Au 2.66-2.70
Zn3 0.4264 0.4134 0.8290  5 Zn 2.56-2.70, 2 Au 2.66-2.70
Zn4 0.6688 0.1710 0.5866  5 Zn 2.56-2.70, 2 Au 2.66-2.70
Zn5 0.6688 0.5866 0.1710  5 Zn 2.56-2.70, 2 Au 2.66-2.70
Nd1 0.2500 0.5000 0.5000  18 Zn 3.32-3.47
Zn6 0.0000 0.0000 0.0000  4 Au 2.84, 8 Zn 2.95
Au2 0.3750 0.7500 0.7500  10 Zn 2.66-2.84
Au3 0.8750 0.2500 0.7500  10 Zn 2.66-2.84
Zn7 0.5898 0.0866 0.3290  5 Zn 2.56-2.70, 2 Au 2.66-2.70
Zn8 0.0812 0.9134 0.3290  5 Zn 2.56-2.70, 2 Au 2.66-2.70
Zn9 0.3236 0.0866 0.6710  5 Zn 2.56-2.70, 2 Au 2.66-2.70
Zn10 0.0054 0.9134 0.6710  5 Zn 2.56-2.70, 2 Au 2.66-2.70
Zn11 0.3236 0.6710 0.0866  5 Zn 2.56-2.70, 2 Au 2.66-2.70
Au4 0.8750 0.7500 0.2500  10 Zn 2.66-2.84
Zn12 0.7500 0.5000 0.5000  4 Au 2.84, 8 Zn 2.95
Zn13 0.7446 0.8290 0.5866  5 Zn 2.56-2.70, 2 Au 2.66-2.70
Zn14 0.1602 0.4134 0.1710  5 Zn 2.56-2.70, 2 Au 2.66-2.70
Zn15 0.1602 0.1710 0.4134  5 Zn 2.56-2.70, 2 Au 2.66-2.70
Zn16 0.7446 0.5866 0.8290  5 Zn 2.56-2.70, 2 Au 2.66-2.70
Zn17 0.0812 0.3290 0.9134  5 Zn 2.56-2.70, 2 Au 2.66-2.70
Zn18 0.5898 0.3290 0.0866  5 Zn 2.56-2.70, 2 Au 2.66-2.70
Nd2 0.5000 0.0000 0.0000  18 Zn 3.32-3.47

Computed properties:
Its formation enthalpy at 0 K is -0.299 eV per atom. The calculation puts the calculated volume at 202.7 Å³/f.u.


3.
An optimized crystal structure of Mn2V3Os. Source: Alexandria via LeMat-Bulk, functional GGA-PBE.

Lattice parameters (Å, degrees): 2.9199 2.9199 8.8165 90.00 90.00 90.00
Last column: nearest neighbours and their distance in Å.
Atoms (fractional coordinates):
V1 0.0000 0.0000 0.0000  8 Mn 2.51, 2 V 2.81
V2 0.0000 0.0000 0.6811  4 Mn 2.48, 4 Os 2.61
Os1 0.5000 0.5000 0.5000  8 V 2.61, 4 Os 2.92
Mn1 0.5000 0.5000 0.8375  8 V 2.48-2.51
V3 0.0000 0.0000 0.3189  4 Mn 2.48, 4 Os 2.61
Mn2 0.5000 0.5000 0.1625  8 V 2.48-2.51

Computed properties:
Its formation enthalpy at 0 K is -0.283 eV per atom. The calculation puts the calculated volume at 75.2 Å³/f.u.


4.
An optimized crystal structure of SrPaGe2. Source: Alexandria via LeMat-Bulk, functional GGA-PBE.

Lattice parameters (Å, degrees): 3.4071 3.4071 8.3646 90.00 90.00 90.00
Last column: nearest neighbours and their distance in Å.
Atoms (fractional coordinates):
Pa1 0.5000 0.5000 0.0000  8 Ge 3.09, 4 Pa 3.41
Ge1 0.0000 0.0000 0.7678  4 Pa 3.09, 4 Sr 3.29, 4 Ge 3.41
Ge2 0.0000 0.0000 0.2322  4 Pa 3.09, 4 Sr 3.29, 4 Ge 3.41
Sr1 0.5000 0.5000 0.5000  8 Ge 3.29, 4 Sr 3.41

Computed properties:
Its formation enthalpy at 0 K is -0.363 eV per atom. The calculation puts the calculated volume at 97.1 Å³/f.u.


5.
An optimized crystal structure of ZnIF6. Source: Alexandria via LeMat-Bulk, functional GGA-PBE.

Lattice parameters (Å, degrees): 5.1563 5.4345 6.0674 66.96 62.16 57.77
Last column: nearest neighbours and their distance in Å.
Atoms (fractional coordinates):
F1 0.8450 0.6433 0.2559  1 I 2.02, 1 Zn 2.22
I1 0.5000 0.5000 0.5000  4 F 2.02-2.03
F2 0.2055 0.9297 0.2209  1 Zn 1.89
F3 0.4381 0.6919 0.7596  1 I 2.03, 1 Zn 2.20
Zn1 0.0000 0.0000 0.0000  2 F 1.89
F4 0.5619 0.3081 0.2404  1 I 2.03, 1 Zn 2.20
F5 0.7945 0.0703 0.7791  1 Zn 1.89
F6 0.1550 0.3567 0.7441  1 I 2.02, 1 Zn 2.22

Computed properties:
The calculation puts the uncorrected formation energy at -1.64 eV per atom. The calculation puts the calculated volume at 124.8 Å³/f.u.


6.
An optimized crystal structure of HfZrPt6. Source: Alexandria via LeMat-Bulk, functional GGA-PBE.

Lattice parameters (Å, degrees): 4.0420 4.0420 8.0847 90.00 90.00 90.00
Last column: nearest neighbours and their distance in Å.
Atoms (fractional coordinates):
Pt1 0.5000 0.5000 0.0000  8 Pt 2.85, 4 Hf 2.86
Pt2 0.5000 0.5000 0.5000  4 Zr 2.86, 8 Pt 2.87
Pt3 0.0000 0.5000 0.7515  8 Pt 2.85-2.87, 2 Hf 2.85, 2 Zr 2.87
Zr1 0.0000 0.0000 0.5000  12 Pt 2.86-2.87
Pt4 0.5000 0.0000 0.2485  2 Hf 2.85, 8 Pt 2.85-2.87, 2 Zr 2.87
Pt5 0.0000 0.5000 0.2485  8 Pt 2.85-2.87, 2 Hf 2.85, 2 Zr 2.87
Hf1 0.0000 0.0000 0.0000  12 Pt 2.85-2.86
Pt6 0.5000 0.0000 0.7515  8 Pt 2.85-2.87, 2 Hf 2.85, 2 Zr 2.87

Computed properties:
Its formation enthalpy at 0 K is -1.069 eV per atom. The calculation puts the calculated volume at 132.1 Å³/f.u.